# 1
First-principles (PBEsol) data for a geometry-optimized Mg3WO6 structure, as listed in Alexandria via LeMat-Bulk.

Cell and atoms, written as CIF:
```
data_Mg3WO6
_cell_length_a 5.104
_cell_length_b 5.317
_cell_length_c 9.096
_cell_angle_alpha 90.00
_cell_angle_beta 123.94
_cell_angle_gamma 90.00
_space_group_name_H-M_alt 'P 1'
_space_group_IT_number 1
loop_
_space_group_symop_operation_xyz
'x,y,z'
loop_
_atom_site_label
_atom_site_type_symbol
_atom_site_fract_x
_atom_site_fract_y
_atom_site_fract_z
Mg1 Mg 0.000 0.000 0.000
Mg2 Mg 0.000 0.500 0.500
Mg3 Mg 0.230 0.054 0.738
Mg4 Mg 0.230 0.446 0.238
Mg5 Mg 0.770 0.554 0.762
Mg6 Mg 0.770 0.946 0.262
W1 W 0.500 0.000 0.500
W2 W 0.500 0.500 0.000
O1 O 0.130 0.177 0.445
O2 O 0.130 0.323 0.945
O3 O 0.251 0.697 0.418
O4 O 0.251 0.803 0.918
O5 O 0.391 0.073 0.262
O6 O 0.391 0.427 0.762
O7 O 0.609 0.573 0.238
O8 O 0.609 0.927 0.738
O9 O 0.749 0.197 0.082
O10 O 0.749 0.303 0.582
O11 O 0.870 0.677 0.055
O12 O 0.870 0.823 0.555
```

The energy relative to the elements, uncorrected comes out at -242 kJ/mol of atoms. The density of states at the Fermi level comes out at 0.000 states/eV per atom.

# 2
First-principles (PBEsol) data for a geometry-optimized YMg3O structure, as listed in Alexandria via LeMat-Bulk.

Cell and atoms, written as CIF:
```
data_YMg3O
_cell_length_a 6.089
_cell_length_b 6.089
_cell_length_c 6.089
_cell_angle_alpha 90.00
_cell_angle_beta 90.00
_cell_angle_gamma 90.00
_space_group_name_H-M_alt 'P 1'
_space_group_IT_number 1
loop_
_space_group_symop_operation_xyz
'x,y,z'
loop_
_atom_site_label
_atom_site_type_symbol
_atom_site_fract_x
_atom_site_fract_y
_atom_site_fract_z
Y1 Y 0.000 0.000 0.000
Mg1 Mg 0.000 0.000 0.500
Mg2 Mg 0.000 0.500 0.000
Mg3 Mg 0.500 0.000 0.000
O1 O 0.500 0.500 0.500
```

The energy relative to the elements, uncorrected comes out at 142 kJ/mol of atoms. The density of states at the Fermi level comes out at 1.597 states/eV per atom.

# 3
First-principles (PBEsol) data for a geometry-optimized Y3MgO structure, as listed in Alexandria via LeMat-Bulk.

Cell and atoms, written as CIF:
```
data_Y3MgO
_cell_length_a 4.776
_cell_length_b 4.776
_cell_length_c 4.776
_cell_angle_alpha 90.00
_cell_angle_beta 90.00
_cell_angle_gamma 90.00
_space_group_name_H-M_alt 'P 1'
_space_group_IT_number 1
loop_
_space_group_symop_operation_xyz
'x,y,z'
loop_
_atom_site_label
_atom_site_type_symbol
_atom_site_fract_x
_atom_site_fract_y
_atom_site_fract_z
Y1 Y 0.000 0.000 0.500
Y2 Y 0.000 0.500 0.000
Y3 Y 0.500 0.000 0.000
Mg1 Mg 0.500 0.500 0.500
O1 O 0.000 0.000 0.000
```

The energy relative to the elements, uncorrected comes out at -122 kJ/mol of atoms. The density of states at the Fermi level comes out at 0.673 states/eV per atom.

# 4
First-principles (PBEsol) data for a geometry-optimized MgZn3O4 structure, as listed in Alexandria via LeMat-Bulk.

Cell and atoms, written as CIF:
```
data_MgZn3O4
_cell_length_a 11.812
_cell_length_b 3.257
_cell_length_c 5.610
_cell_angle_alpha 90.00
_cell_angle_beta 118.35
_cell_angle_gamma 90.00
_space_group_name_H-M_alt 'P 1'
_space_group_IT_number 1
loop_
_space_group_symop_operation_xyz
'x,y,z'
loop_
_atom_site_label
_atom_site_type_symbol
_atom_site_fract_x
_atom_site_fract_y
_atom_site_fract_z
Mg1 Mg 0.000 0.000 0.000
Mg2 Mg 0.500 0.500 0.000
Zn1 Zn 0.247 0.000 0.586
Zn2 Zn 0.248 0.500 0.082
Zn3 Zn 0.499 0.000 0.503
Zn4 Zn 0.747 0.500 0.586
Zn5 Zn 0.748 0.000 0.082
Zn6 Zn 0.999 0.500 0.503
O1 O 0.057 0.000 0.392
O2 O 0.058 0.500 0.895
O3 O 0.307 0.000 0.310
O4 O 0.309 0.500 0.811
O5 O 0.557 0.500 0.392
O6 O 0.558 0.000 0.895
O7 O 0.807 0.500 0.310
O8 O 0.809 0.000 0.811
```

The energy relative to the elements, uncorrected comes out at -168 kJ/mol of atoms.

# 5
First-principles (PBEsol) data for a geometry-optimized MgZn3O structure, as listed in Alexandria via LeMat-Bulk.

Cell and atoms, written as CIF:
```
data_MgZn3O
_cell_length_a 4.245
_cell_length_b 4.245
_cell_length_c 4.245
_cell_angle_alpha 90.00
_cell_angle_beta 90.00
_cell_angle_gamma 90.00
_space_group_name_H-M_alt 'P 1'
_space_group_IT_number 1
loop_
_space_group_symop_operation_xyz
'x,y,z'
loop_
_atom_site_label
_atom_site_type_symbol
_atom_site_fract_x
_atom_site_fract_y
_atom_site_fract_z
Mg1 Mg 0.000 0.000 0.000
Zn1 Zn 0.000 0.500 0.500
Zn2 Zn 0.500 0.000 0.500
Zn3 Zn 0.500 0.500 0.000
O1 O 0.500 0.500 0.500
```

The energy relative to the elements, uncorrected comes out at -8 kJ/mol of atoms. The density of states at the Fermi level comes out at 0.295 states/eV per atom.

# 6
First-principles (PBEsol) data for a geometry-optimized MgZrO3 structure, as listed in Alexandria via LeMat-Bulk.

Cell and atoms, written as CIF:
```
data_MgZrO3
_cell_length_a 3.695
_cell_length_b 3.695
_cell_length_c 3.695
_cell_angle_alpha 90.00
_cell_angle_beta 90.00
_cell_angle_gamma 90.00
_space_group_name_H-M_alt 'P 1'
_space_group_IT_number 1
loop_
_space_group_symop_operation_xyz
'x,y,z'
loop_
_atom_site_label
_atom_site_type_symbol
_atom_site_fract_x
_atom_site_fract_y
_atom_site_fract_z
Mg1 Mg 0.000 0.000 0.000
Zr1 Zr 0.500 0.500 0.500
O1 O 0.000 0.000 0.500
O2 O 0.000 0.500 0.000
O3 O 0.500 0.000 0.000
```

The energy relative to the elements, uncorrected comes out at -206 kJ/mol of atoms.

# 7
First-principles (PBEsol) data for a geometry-optimized MgZrO3 structure, as listed in Alexandria via LeMat-Bulk.

Cell and atoms, written as CIF:
```
data_MgZrO3
_cell_length_a 5.611
_cell_length_b 5.611
_cell_length_c 5.611
_cell_angle_alpha 56.73
_cell_angle_beta 56.73
_cell_angle_gamma 56.73
_space_group_name_H-M_alt 'P 1'
_space_group_IT_number 1
loop_
_space_group_symop_operation_xyz
'x,y,z'
loop_
_atom_site_label
_atom_site_type_symbol
_atom_site_fract_x
_atom_site_fract_y
_atom_site_fract_z
Mg1 Mg 0.145 0.145 0.145
Mg2 Mg 0.855 0.855 0.855
Zr1 Zr 0.358 0.358 0.358
Zr2 Zr 0.642 0.642 0.642
O1 O 0.050 0.452 0.745
O2 O 0.255 0.950 0.548
O3 O 0.452 0.745 0.050
O4 O 0.548 0.255 0.950
O5 O 0.745 0.050 0.452
O6 O 0.950 0.548 0.255
```

The energy relative to the elements, uncorrected comes out at -301 kJ/mol of atoms. The density of states at the Fermi level comes out at 0.000 states/eV per atom.

# 8
First-principles (PBEsol) data for a geometry-optimized Mg17Os12 structure, as listed in Alexandria via LeMat-Bulk.

Cell and atoms, written as CIF:
```
data_Mg17Os12
_cell_length_a 8.602
_cell_length_b 8.602
_cell_length_c 8.602
_cell_angle_alpha 109.47
_cell_angle_beta 109.47
_cell_angle_gamma 109.47
_space_group_name_H-M_alt 'P 1'
_space_group_IT_number 1
loop_
_space_group_symop_operation_xyz
'x,y,z'
loop_
_atom_site_label
_atom_site_type_symbol
_atom_site_fract_x
_atom_site_fract_y
_atom_site_fract_z
Mg1 Mg 0.000 0.000 0.000
Mg2 Mg 0.000 0.000 0.356
Mg3 Mg 0.000 0.320 0.606
Mg4 Mg 0.000 0.356 0.000
Mg5 Mg 0.000 0.606 0.320
Mg6 Mg 0.286 0.680 0.680
Mg7 Mg 0.320 0.000 0.606
Mg8 Mg 0.320 0.606 0.000
Mg9 Mg 0.356 0.000 0.000
Mg10 Mg 0.394 0.394 0.714
Mg11 Mg 0.394 0.714 0.394
Mg12 Mg 0.606 0.000 0.320
Mg13 Mg 0.606 0.320 0.000
Mg14 Mg 0.644 0.644 0.644
Mg15 Mg 0.680 0.286 0.680
Mg16 Mg 0.680 0.680 0.286
Mg17 Mg 0.714 0.394 0.394
Os1 Os 0.000 0.646 0.817
Os2 Os 0.000 0.817 0.646
Os3 Os 0.172 0.354 0.354
Os4 Os 0.183 0.183 0.828
Os5 Os 0.183 0.828 0.183
Os6 Os 0.354 0.172 0.354
Os7 Os 0.354 0.354 0.172
Os8 Os 0.646 0.000 0.817
Os9 Os 0.646 0.817 0.000
Os10 Os 0.817 0.000 0.646
Os11 Os 0.817 0.646 0.000
Os12 Os 0.828 0.183 0.183
```

The energy of formation is 0.1109 eV/atom. The density of states at the Fermi level comes out at 0.703 states/eV per atom.

# 9
First-principles (PBEsol) data for a geometry-optimized Mg3Os4 structure, as listed in Alexandria via LeMat-Bulk.

Cell and atoms, written as CIF:
```
data_Mg3Os4
_cell_length_a 2.832
_cell_length_b 2.832
_cell_length_c 27.830
_cell_angle_alpha 90.00
_cell_angle_beta 90.00
_cell_angle_gamma 90.00
_space_group_name_H-M_alt 'P 1'
_space_group_IT_number 1
loop_
_space_group_symop_operation_xyz
'x,y,z'
loop_
_atom_site_label
_atom_site_type_symbol
_atom_site_fract_x
_atom_site_fract_y
_atom_site_fract_z
Mg1 Mg 0.000 0.000 0.000
Mg2 Mg 0.000 0.000 0.298
Mg3 Mg 0.000 0.000 0.702
Mg4 Mg 0.500 0.500 0.202
Mg5 Mg 0.500 0.500 0.500
Mg6 Mg 0.500 0.500 0.798
Os1 Os 0.000 0.000 0.131
Os2 Os 0.000 0.000 0.427
Os3 Os 0.000 0.000 0.573
Os4 Os 0.000 0.000 0.869
Os5 Os 0.500 0.500 0.073
Os6 Os 0.500 0.500 0.369
Os7 Os 0.500 0.500 0.631
Os8 Os 0.500 0.500 0.927
```

The energy of formation is 0.1098 eV/atom. The density of states at the Fermi level comes out at 0.581 states/eV per atom.

# 10
First-principles (PBEsol) data for a geometry-optimized MgPOs2 structure, as listed in Alexandria via LeMat-Bulk.

Cell and atoms, written as CIF:
```
data_MgPOs2
_cell_length_a 9.294
_cell_length_b 2.863
_cell_length_c 4.836
_cell_angle_alpha 90.00
_cell_angle_beta 115.33
_cell_angle_gamma 90.00
_space_group_name_H-M_alt 'P 1'
_space_group_IT_number 1
loop_
_space_group_symop_operation_xyz
'x,y,z'
loop_
_atom_site_label
_atom_site_type_symbol
_atom_site_fract_x
_atom_site_fract_y
_atom_site_fract_z
Mg1 Mg 0.000 0.000 0.000
Mg2 Mg 0.500 0.500 0.000
P1 P 0.295 0.500 0.362
P2 P 0.795 0.000 0.362
Os1 Os 0.034 0.500 0.510
Os2 Os 0.252 0.000 0.940
Os3 Os 0.534 0.000 0.510
Os4 Os 0.752 0.500 0.940
```

The energy of formation is 0.1004 eV/atom. The density of states at the Fermi level comes out at 0.649 states/eV per atom. For the energy relative to the lowest polymorph listed for this composition, the calculation gives 0.010 eV/atom.

# 11
First-principles (PBEsol) data for a geometry-optimized MgP2Os structure, as listed in Alexandria via LeMat-Bulk.

Cell and atoms, written as CIF:
```
data_MgP2Os
_cell_length_a 2.902
_cell_length_b 3.755
_cell_length_c 5.332
_cell_angle_alpha 90.00
_cell_angle_beta 90.00
_cell_angle_gamma 90.00
_space_group_name_H-M_alt 'P 1'
_space_group_IT_number 1
loop_
_space_group_symop_operation_xyz
'x,y,z'
loop_
_atom_site_label
_atom_site_type_symbol
_atom_site_fract_x
_atom_site_fract_y
_atom_site_fract_z
Mg1 Mg 0.000 0.000 0.000
P1 P 0.000 0.000 0.484
P2 P 0.500 0.500 0.814
Os1 Os 0.500 0.500 0.358
```

The energy of formation is 0.0025 eV/atom. The density of states at the Fermi level comes out at 0.597 states/eV per atom.

# 12
First-principles (PBEsol) data for a geometry-optimized MgP3Os structure, as listed in Alexandria via LeMat-Bulk.

Cell and atoms, written as CIF:
```
data_MgP3Os
_cell_length_a 4.613
_cell_length_b 4.613
_cell_length_c 4.613
_cell_angle_alpha 90.00
_cell_angle_beta 90.00
_cell_angle_gamma 90.00
_space_group_name_H-M_alt 'P 1'
_space_group_IT_number 1
loop_
_space_group_symop_operation_xyz
'x,y,z'
loop_
_atom_site_label
_atom_site_type_symbol
_atom_site_fract_x
_atom_site_fract_y
_atom_site_fract_z
Mg1 Mg 0.000 0.000 0.000
P1 P 0.000 0.500 0.500
P2 P 0.500 0.000 0.500
P3 P 0.500 0.500 0.000
Os1 Os 0.500 0.500 0.500
```

The energy of formation is 0.5605 eV/atom. The density of states at the Fermi level comes out at 0.760 states/eV per atom.